Compound: CsTl2WF8
Source: the Alexandria database
Functional: PBE with a Hubbard U
Structure: optimized geometry

Unit cell a=4.9536 b=6.6796 c=8.6688 alpha=89.96 beta=89.94 gamma=95.06
Positions (direct):
Cs1 0.0000 0.0000 0.5000
Tl1 0.4998 0.4999 0.7264
Tl2 0.5002 0.5001 0.2736
W1 0.0000 0.0000 0.0000
F1 0.1068 0.8218 0.1647
F2 0.6605 0.8392 0.9998
F3 0.8923 0.1776 0.1647
F4 0.8932 0.1782 0.8353
F5 0.3395 0.1608 0.0002
F6 0.1077 0.8224 0.8353
F7 0.4871 0.7229 0.4999
F8 0.5129 0.2771 0.5001

DOS(E_F) ... 0.0000 states/eV per atom
Final energy ... -57.24 eV for the cell shown
Total magnetization ... 0.985 μB per cell